A relaxed Si2TeS6 crystal. Source: Alexandria, functional PBE-GGA.

Its crystal system is monoclinic. For the formation energy (no corrections), the calculation gives -255 kJ/mol of formula units.

The structure belongs to space group C2/c (No. 15); the cell edges are 12.2409, 11.4016 and 6.2032 Å and the angles 90.00°, 103.47° and 90.00°. The inequivalent atoms are Si at (0.2001, 0.0766, 0.3072), Te at (0.0000, 0.3623, 0.2500), S at (0.1233, 0.4118, 0.6646), S at (0.1304, 0.2294, 0.1147) and S at (0.1370, 0.0745, 0.6019).

A relaxed CoNi2As crystal. Source: Alexandria, functional PBE-GGA.

Its crystal system is trigonal. As for the formation enthalpy at 0 K: 0.17 eV per atom.

The structure belongs to space group R3m (No. 160, hexagonal axes); the cell edges are 2.7226, 2.7226 and 22.9207 Å and the angles 90.00°, 90.00° and 120.00°. The inequivalent atoms are Co at (0.0000, 0.0000, 0.0000), Ni at (0.0000, 0.0000, 0.2491), Ni at (0.0000, 0.0000, 0.4963) and As at (0.0000, 0.0000, 0.7473).

Magnetization
In order: 0.0, 1.4
Unit: μB per formula unit